6
Lattice="0.000 4.973 4.973 4.973 0.000 4.973 4.973 4.973 0.000" Properties=species:S:1:pos:R:3 comment="Sr4RuBr (PBE, relaxed)" crystal_system=cubic total_energy_ev_per_atom=-2.2210 magnetic_moment_mub_per_cell=0.579 formation_energy_uncorrected_mev_per_atom=725 sg="F-43m (216)" pbc="T T T"
Sr 6.229 3.718 6.229
Ru 0.000 0.000 0.000
Sr 3.718 6.229 6.229
Br 7.460 7.460 7.460
Sr 6.229 6.229 3.718
Sr 3.718 3.718 3.718